Run a
Here is Ac2ErH after structural relaxation from the Alexandria database. Energies are from PBE.

abc: 3.691 3.691 8.979
angles: 90.00 90.00 90.00
Space group P4/mmm (No. 123)
Inequivalent atoms, fractional coordinates:
Ac 0.000 0.000 0.200 [2 per cell]
Er 0.500 0.500 0.500 [1 per cell]
H 0.500 0.500 0.000 [1 per cell]

***

Run b
Here is Ac2ErH after structural relaxation from the Alexandria database. Energies are from PBE.

abc: 3.7433 3.7433 30.7912
angles: 90.00 90.00 120.00
Space group R-3m (No. 166, hexagonal axes)
Inequivalent atoms, fractional coordinates:
Ac 0.0000 0.0000 0.1148 [6 per cell]
Er 0.0000 0.0000 0.0000 [3 per cell]
H 0.0000 0.0000 0.5000 [3 per cell]

***

How do the energies compare? Relative to the most stable structure, in eV/atom: run a 0.026; run b 0.000.

***

Run a
Here is AcErHg4 after structural relaxation from the Alexandria database. Energies are from PBE.

abc: 4.589 4.589 8.996
angles: 90.00 90.00 90.00
Space group P4/mmm (No. 123)
Inequivalent atoms, fractional coordinates:
Ac 0.000 0.000 0.000 [1 per cell]
Er 0.500 0.500 0.500 [1 per cell]
Hg 0.000 0.500 0.274 [4 per cell]

***

Run b
Here is AcErHg4 after structural relaxation from the Alexandria database. Energies are from PBE.

abc: 3.608 5.079 8.760
angles: 90.00 90.00 90.00
Space group Pmmm (No. 47)
Inequivalent atoms, fractional coordinates:
Ac 0.000 0.000 0.000 [1 per cell]
Er 0.000 0.500 0.500 [1 per cell]
Hg 0.500 0.000 0.340 [2 per cell]
Hg 0.500 0.500 0.178 [2 per cell]

***

How do the energies compare? Relative to the most stable structure, in eV/atom: run a 0.181; run b 0.000.

***

Run a
Here is AcEr2Hg after structural relaxation from the Alexandria database. Energies are from PBE.

abc: 3.7470 3.7470 32.0370
angles: 90.00 90.00 120.00
Space group R3m (No. 160, hexagonal axes)
Inequivalent atoms, fractional coordinates:
Ac 0.0000 0.0000 0.0000 [3 per cell]
Er 0.0000 0.0000 0.2375 [3 per cell]
Er 0.0000 0.0000 0.4297 [3 per cell]
Hg 0.0000 0.0000 0.8339 [3 per cell]

***

Run b
Here is AcEr2Hg after structural relaxation from the Alexandria database. Energies are from PBE.

abc: 7.836 7.836 7.836
angles: 90.00 90.00 90.00
Space group Fm-3m (No. 225)
Inequivalent atoms, fractional coordinates:
Ac 0.000 0.000 0.000 [4 per cell]
Er 0.250 0.250 0.250 [8 per cell]
Hg 0.000 0.000 0.500 [4 per cell]

***

Run c
Here is AcEr2Hg after structural relaxation from the Alexandria database. Energies are from PBE.

abc: 4.935 4.935 5.056
angles: 90.00 90.00 90.00
Space group P4/mmm (No. 123)
Inequivalent atoms, fractional coordinates:
Ac 0.000 0.000 0.000 [1 per cell]
Er 0.000 0.500 0.500 [2 per cell]
Hg 0.500 0.500 0.000 [1 per cell]

***

Run d
Here is AcEr2Hg after structural relaxation from the Alexandria database. Energies are from PBE.

abc: 3.7256 3.7256 31.9729
angles: 90.00 90.00 120.00
Space group R-3m (No. 166, hexagonal axes)
Inequivalent atoms, fractional coordinates:
Ac 0.0000 0.0000 0.0000 [3 per cell]
Er 0.0000 0.0000 0.2383 [6 per cell]
Hg 0.0000 0.0000 0.5000 [3 per cell]

***

How do the energies compare? Relative to the most stable structure, in eV/atom: run a 0.033; run b 0.220; run c 0.070; run d 0.000.

***

Run a
Here is Ac2ErHg after structural relaxation from the Alexandria database. Energies are from PBE.

abc: 8.237 8.237 8.237
angles: 90.00 90.00 90.00
Space group Fm-3m (No. 225)
Inequivalent atoms, fractional coordinates:
Ac 0.250 0.250 0.250 [8 per cell]
Er 0.000 0.000 0.000 [4 per cell]
Hg 0.000 0.000 0.500 [4 per cell]

***

Run b
Here is Ac2ErHg after structural relaxation from the Alexandria database. Energies are from PBE.

abc: 3.968 3.968 9.105
angles: 90.00 90.00 90.00
Space group P4/mmm (No. 123)
Inequivalent atoms, fractional coordinates:
Ac 0.000 0.000 0.228 [2 per cell]
Er 0.500 0.500 0.500 [1 per cell]
Hg 0.500 0.500 0.000 [1 per cell]

***

How do the energies compare? Relative to the most stable structure, in eV/atom: run a 0.132; run b 0.000.

***

Run a
Here is AcHoEr2 after structural relaxation from the Alexandria database. Energies are from PBE.

abc: 3.6783 3.6783 34.7327
angles: 90.00 90.00 120.00
Space group R3m (No. 160, hexagonal axes)
Inequivalent atoms, fractional coordinates:
Ac 0.0000 0.0000 0.0000 [3 per cell]
Ho 0.0000 0.0000 0.1660 [3 per cell]
Er 0.0000 0.0000 0.4199 [3 per cell]
Er 0.0000 0.0000 0.5793 [3 per cell]

***

Run b
Here is AcHoEr2 after structural relaxation from the Alexandria database. Energies are from PBE.

abc: 5.147 5.147 5.114
angles: 90.00 90.00 90.00
Space group P4/mmm (No. 123)
Inequivalent atoms, fractional coordinates:
Ac 0.000 0.000 0.000 [1 per cell]
Ho 0.500 0.500 0.000 [1 per cell]
Er 0.000 0.500 0.500 [2 per cell]

***

How do the energies compare? Relative to the most stable structure, in eV/atom: run a 0.000; run b 0.018.

***

Run a
Here is Ac2HoEr after structural relaxation from the Alexandria database. Energies are from PBE.

abc: 3.888 3.888 9.839
angles: 90.00 90.00 90.00
Space group P4/mmm (No. 123)
Inequivalent atoms, fractional coordinates:
Ac 0.000 0.000 0.249 [2 per cell]
Ho 0.500 0.500 0.500 [1 per cell]
Er 0.500 0.500 0.000 [1 per cell]

***

Run b
Here is Ac2HoEr after structural relaxation from the Alexandria database. Energies are from PBE.

abc: 3.6852 3.6852 39.0955
angles: 90.00 90.00 120.00
Space group R-3m (No. 166, hexagonal axes)
Inequivalent atoms, fractional coordinates:
Ac 0.0000 0.0000 0.0884 [6 per cell]
Ho 0.0000 0.0000 0.5000 [3 per cell]
Er 0.0000 0.0000 0.0000 [3 per cell]

***

How do the energies compare? Relative to the most stable structure, in eV/atom: run a 0.000; run b 0.208.